1.
Material: Cd2CoHgBi
Method: DFT, PBE
State: relaxed

Lattice parameters (Å, degrees): 5.1680 5.1680 4.8074 90.00 90.00 90.00
Element x y z (fractional)
Cd1 0.0000 0.5000 0.0000
Cd2 0.5000 0.0000 0.0000
Co1 0.0000 0.0000 0.0000
Hg1 0.5000 0.5000 0.5000
Bi1 0.0000 0.0000 0.5000

Computed properties:
The energy relative to the elements comes out at 0.1767 eV/atom. The calculation puts the volume at 128 Å³/cell. As for the total DFT energy (no corrections): -2.4471 eV per atom. The calculation puts the density at 8.97 g/cm3. The density of states at the Fermi level is 0.3227 states/eV per atom.



2.
Material: Er8In3
Method: DFT, PBE
State: relaxed

Lattice parameters (Å, degrees): 7.0847 7.0847 7.0847 88.38 88.38 88.38
Element x y z (fractional)
Er1 0.1477 0.1477 0.1477
Er2 0.1862 0.3547 0.6210
Er3 0.3547 0.6210 0.1862
Er4 0.3790 0.8138 0.6453
Er5 0.6210 0.1862 0.3547
Er6 0.6453 0.3790 0.8138
Er7 0.8138 0.6453 0.3790
Er8 0.8523 0.8523 0.8523
In1 0.0000 0.0000 0.5000
In2 0.0000 0.5000 0.0000
In3 0.5000 0.0000 0.0000

Computed properties:
The energy relative to the elements comes out at 0.0964 eV/atom. The calculation puts the volume at 355 Å³/cell. As for the total DFT energy (no corrections): -3.9689 eV per atom. The calculation puts the density at 7.87 g/cm3. The density of states at the Fermi level is 1.5917 states/eV per atom.



3.
Material: Er2SiGeRh6
Method: DFT, PBE
State: relaxed

Lattice parameters (Å, degrees): 6.3629 6.3629 6.3629 60.00 60.00 60.00
Element x y z (fractional)
Er1 0.2500 0.2500 0.2500
Er2 0.7500 0.7500 0.7500
Si1 0.0000 0.0000 0.0000
Ge1 0.5000 0.5000 0.5000
Rh1 0.2453 0.2453 0.7547
Rh2 0.2453 0.7547 0.2453
Rh3 0.2453 0.7547 0.7547
Rh4 0.7547 0.2453 0.2453
Rh5 0.7547 0.2453 0.7547
Rh6 0.7547 0.7547 0.2453

Computed properties:
Its raw formation energy is -521 meV per atom. The calculation puts the volume at 182 Å³/cell. As for the total DFT energy (no corrections): -6.8488 eV per atom. The calculation puts the density at 9.60 g/cm3. The density of states at the Fermi level is 0.1426 states/eV per atom.



4.
Material: Ca2AlGe
Method: DFT, PBE
State: relaxed

Lattice parameters (Å, degrees): 10.7340 10.7340 10.7340 154.12 154.12 36.92
Element x y z (fractional)
Ca1 0.1147 0.6250 0.9897
Ca2 0.3750 0.3647 0.4897
Ca3 0.6353 0.1250 0.0103
Ca4 0.8750 0.8853 0.5103
Al1 0.2500 0.7500 0.5000
Al2 0.5000 0.5000 0.0000
Ge1 0.0000 0.0000 0.0000
Ge2 0.7500 0.2500 0.5000

Computed properties:
The energy relative to the elements comes out at 0.1689 eV/atom. The calculation puts the volume at 235 Å³/cell. As for the total DFT energy (no corrections): -2.9218 eV per atom. The calculation puts the density at 2.54 g/cm3. The density of states at the Fermi level is 0.6345 states/eV per atom.